[1]
{"formula": "TbSmAu", "functional": "GGA-PBE", "state": "relaxed", "e_form_ev_per_atom": -0.41, "vol_a3_per_fu": 90.3, "cell": [[0.0000, 3.5607, 3.5607], [3.5607, 0.0000, 3.5607], [3.5607, 3.5607, 0.0000]], "species": ["Tb", "Sm", "Au"], "fractional_positions": [[0.0000, 0.0000, 0.0000], [0.5000, 0.5000, 0.5000], [0.2500, 0.2500, 0.2500]]}

---

[2]
{"formula": "TbSmAu", "functional": "GGA-PBE", "state": "relaxed", "e_form_ev_per_atom": -0.52, "vol_a3_per_fu": 82.7, "cell": [[-1.8220, 1.8220, 6.2298], [1.8220, -1.8220, 6.2298], [1.8220, 1.8220, -6.2298]], "species": ["Tb", "Sm", "Au"], "fractional_positions": [[0.0000, 0.0000, 0.0000], [0.7109, 0.7109, 0.0000], [0.3636, 0.3636, 0.0000]]}

---

[3]
{"formula": "TbSm5Au6", "functional": "GGA-PBE", "state": "relaxed", "e_form_ev_per_atom": -0.80, "vol_a3_per_fu": 295.6, "cell": [[-2.6014, 3.6325, 7.8203], [2.6014, -3.6325, 7.8203], [2.6014, 3.6325, -7.8203]], "species": ["Tb", "Sm", "Sm", "Sm", "Sm", "Sm", "Au", "Au", "Au", "Au", "Au", "Au"], "fractional_positions": [[0.0000, 0.0000, 0.0000], [0.1677, 0.6677, 0.5000], [0.3340, 0.3340, 0.0000], [0.5000, 0.0000, 0.5000], [0.6660, 0.6660, 0.0000], [0.8323, 0.3323, 0.5000], [0.0820, 0.8361, 0.2459], [0.2418, 0.5000, 0.7418], [0.4098, 0.1639, 0.2459], [0.5902, 0.8361, 0.7541], [0.7582, 0.5000, 0.2582], [0.9180, 0.1639, 0.7541]]}

---

[4]
{"formula": "Tb3SmAu2", "functional": "GGA-PBE", "state": "relaxed", "e_form_ev_per_atom": -0.61, "vol_a3_per_fu": 162.3, "cell": [[5.0109, 0.0000, 0.0000], [0.0000, 9.0311, 0.0000], [0.0000, 0.0000, 7.1732]], "species": ["Tb", "Tb", "Tb", "Tb", "Tb", "Tb", "Sm", "Sm", "Au", "Au", "Au", "Au"], "fractional_positions": [[0.0000, 0.0727, 0.0000], [0.0000, 0.3317, 0.3613], [0.0000, 0.6683, 0.8613], [0.0000, 0.9273, 0.5000], [0.5000, 0.1670, 0.6612], [0.5000, 0.8330, 0.1612], [0.5000, 0.4260, 0.0225], [0.5000, 0.5740, 0.5225], [0.0000, 0.3451, 0.7677], [0.0000, 0.6549, 0.2677], [0.5000, 0.1501, 0.2558], [0.5000, 0.8499, 0.7558]]}

---

[5]
{"formula": "TbSm2Au2", "functional": "GGA-PBE", "state": "relaxed", "e_form_ev_per_atom": -0.67, "vol_a3_per_fu": 133.0, "cell": [[8.2894, 0.0000, 0.0000], [0.0000, 8.2894, 0.0000], [0.0000, 0.0000, 3.8697]], "species": ["Tb", "Tb", "Sm", "Sm", "Sm", "Sm", "Au", "Au", "Au", "Au"], "fractional_positions": [[0.0000, 0.0000, 0.0000], [0.5000, 0.5000, 0.0000], [0.1649, 0.3351, 0.5000], [0.3351, 0.8351, 0.5000], [0.6649, 0.1649, 0.5000], [0.8351, 0.6649, 0.5000], [0.1308, 0.6308, 0.0000], [0.3692, 0.1308, 0.0000], [0.6308, 0.8692, 0.0000], [0.8692, 0.3692, 0.0000]]}

---

[6]
{"formula": "TbSm2Au4", "functional": "GGA-PBE", "state": "relaxed", "e_form_ev_per_atom": -0.68, "vol_a3_per_fu": 179.8, "cell": [[-2.6303, 2.6303, 6.4963], [2.6303, -2.6303, 6.4963], [2.6303, 2.6303, -6.4963]], "species": ["Tb", "Sm", "Sm", "Au", "Au", "Au", "Au"], "fractional_positions": [[0.0000, 0.0000, 0.0000], [0.2774, 0.2774, 0.0000], [0.7226, 0.7226, 0.0000], [0.1173, 0.6173, 0.5000], [0.3827, 0.8827, 0.5000], [0.6173, 0.1173, 0.5000], [0.8827, 0.3827, 0.5000]]}

---

[7]
{"formula": "Tb2Sm3Au2", "functional": "GGA-PBE", "state": "relaxed", "e_form_ev_per_atom": -0.47, "vol_a3_per_fu": 202.8, "cell": [[6.3707, -1.8948, 0.0000], [6.3707, 1.8948, 0.0000], [-3.8881, 0.0000, 8.4006]], "species": ["Tb", "Tb", "Sm", "Sm", "Sm", "Au", "Au"], "fractional_positions": [[0.1531, 0.1531, 0.3123], [0.8469, 0.8469, 0.6877], [0.3874, 0.3874, 0.0563], [0.5000, 0.5000, 0.5000], [0.6126, 0.6126, 0.9437], [0.1717, 0.1717, 0.7248], [0.8283, 0.8283, 0.2752]]}

---

[8]
{"formula": "Tb3SmAu4", "functional": "GGA-PBE", "state": "relaxed", "e_form_ev_per_atom": -0.84, "vol_a3_per_fu": 191.7, "cell": [[2.5663, 1.4816, 8.4027], [-2.5663, 1.4816, 8.4027], [0.0000, -2.9633, 8.4027]], "species": ["Tb", "Tb", "Tb", "Sm", "Au", "Au", "Au", "Au"], "fractional_positions": [[0.0000, 0.0000, 0.0000], [0.2504, 0.2504, 0.2504], [0.7496, 0.7496, 0.7496], [0.5000, 0.5000, 0.5000], [0.1230, 0.1230, 0.1230], [0.3734, 0.3734, 0.3734], [0.6266, 0.6266, 0.6266], [0.8770, 0.8770, 0.8770]]}